The following is a DFT calculation (PBE) of crystalline Sm2Ge5Pt3 at its relaxed geometry.

Results
DFT total energy = -5.855 eV/atom
DFT formation energy = -0.791 eV per atom
Fermi-level density of states = 12.74 states/eV per cell

abc: 4.3786 24.7318 7.0647
angles: 90.00 90.00 90.00
Closest atoms and distances in Å follow each position.
Space group Cmc2_1 (No. 36)
One atom of each set of equivalent atoms:
Sm (0.0000, 0.0210, 0.0000) [4 per cell]  3 Pt 2.86-3.09, 4 Ge 3.02-3.20
Sm (0.0000, 0.3252, 0.0016) [4 per cell]  9 Ge 3.03-3.32, 5 Pt 3.19-3.37
Ge (0.0000, 0.1011, 0.3551) [4 per cell]  3 Pt 2.51-2.61
Ge (0.0000, 0.2041, 0.8159) [4 per cell]  4 Pt 2.52-2.72
Ge (0.0000, 0.2110, 0.2293) [4 per cell]  3 Pt 2.60-2.72, 1 Ge 2.86
Ge (0.0000, 0.3809, 0.4771) [4 per cell]  4 Pt 2.58-2.84, 1 Ge 2.82
Ge (0.0000, 0.4512, 0.1626) [4 per cell]  4 Pt 2.64-2.72, 1 Ge 2.82
Pt (0.0000, 0.1058, 0.7243) [4 per cell]  4 Ge 2.52-2.64
Pt (0.0000, 0.2779, 0.5350) [4 per cell]  7 Ge 2.58-2.72
Pt (0.0000, 0.4445, 0.7833) [4 per cell]  5 Ge 2.51-2.72

***

The following is a DFT calculation (PBE) of crystalline Zn2InSe at its relaxed geometry.

Results
Formation energy without anion corrections = 10 meV/atom
DFT total energy = -2.182 eV/atom
Fermi-level density of states = 1.66 states/eV per cell

abc: 3.9772 3.7472 5.9878
angles: 90.00 105.61 90.00
Closest atoms and distances in Å follow each position.
Space group P2/m (No. 10)
One atom of each set of equivalent atoms:
Zn (0.0000, 0.0000, 0.0000) [1 per cell]  4 Se 2.73, 2 In 2.99
Zn (0.5000, 0.5000, 0.5000) [1 per cell]  4 In 2.73, 2 Se 2.99
In (0.0000, 0.0000, 0.5000) [1 per cell]  6 Zn 2.73-2.99
Se (0.5000, 0.5000, 0.0000) [1 per cell]  6 Zn 2.73-2.99

***

| no. | energy above the lowest structure with this stoichiometry (meV per atom) |
| --- | --- |
| 1 | 29.0 |
| 2 | 131.0 |